No. 1
First-principles (PBE) data for a relaxed structure of Sm4Mg3Tl, as listed in the Alexandria database.

Summary:
Calculated formation energy in kJ per mole of atoms: -17.18
Total DFT energy (no corrections) in eV/f.u.: -27.45

a = 5.4373 Å, b = 5.4373 Å, c = 9.4455 Å
α = 73.27°, β = 73.27°, γ = 60.00°
Element x y z (fractional)
Sm 0.8747 0.8747 0.3758
Sm 0.1253 0.1253 0.6242
Sm 0.3754 0.3754 0.8738
Sm 0.6246 0.6246 0.1262
Mg 0.5000 0.5000 0.5000
Mg 0.7525 0.7525 0.7424
Mg 0.2475 0.2475 0.2576
Tl 0.0000 0.0000 0.0000


No. 2
First-principles (PBE) data for a relaxed structure of BeCuSeBr2, as listed in the Alexandria database.

Summary:
Formation energy (no corrections) in eV/atom: 0.6091
ΔE to the lowest computed polymorph in meV per atom: 335
Total DFT energy (no corrections) in eV/f.u.: -11.61

a = 4.8148 Å, b = 4.8148 Å, c = 5.1300 Å
α = 90.00°, β = 90.00°, γ = 90.00°
Element x y z (fractional)
Cu 0.0000 0.0000 0.0000
Be 0.5000 0.5000 0.5000
Se 0.0000 0.0000 0.5000
Br 0.5000 0.0000 0.0000
Br 0.0000 0.5000 0.0000


No. 3
First-principles (PBE) data for a relaxed structure of NaHgSb2Te, as listed in the Alexandria database.

Summary:
Formation energy (no corrections) in eV/atom: 0.3923
ΔE to the lowest computed polymorph in meV per atom: 0
Total DFT energy (no corrections) in eV/f.u.: -11.05

a = 5.5819 Å, b = 5.5819 Å, c = 5.9419 Å
α = 90.00°, β = 90.00°, γ = 90.00°
Site moments in Bohr magnetons follow the coordinates.
Element x y z (fractional)
Na 0.5000 0.5000 0.5000  0.00
Te 0.0000 0.0000 0.5000  0.07
Sb 0.0000 0.5000 0.0000  0.12
Sb 0.5000 0.0000 0.0000  0.12
Hg 0.0000 0.0000 0.0000  0.00


Across the entries above, ρ takes the values 6.4, 4.3, 5.3 g/cm³, respectively.